Below is a geometry-optimized La2Ga3Pd4 structure, with properties calculated at the GGA-PBE level.

The calculation puts the uncorrected energy at -5.2327 eV/atom. Its energy of formation from the pure elements is -0.821 eV/atom. As for the magnetization: 0.00 μB per atom.

Lattice parameters (Å, degrees): 8.4611 8.4611 7.6540 90.00 90.00 140.06
With the nearest neighbours (Å) after each atom.
Fractional coordinates of all 18 atoms:
La 0.1102 0.8898 0.9191  5 Pd 3.01-3.28, 2 Ga 3.19
La 0.3898 0.6102 0.4191  5 Pd 3.01-3.28, 2 Ga 3.19
La 0.6102 0.3898 0.5809  5 Pd 3.01-3.28, 2 Ga 3.19
La 0.8898 0.1102 0.0809  5 Pd 3.01-3.28, 2 Ga 3.19
Ga 0.0000 0.0000 0.5000  6 Pd 2.61-2.90
Ga 0.0195 0.4805 0.7500  5 Pd 2.62-2.68, 2 Ga 2.89
Ga 0.4805 0.0195 0.2500  5 Pd 2.62-2.68, 2 Ga 2.89
Ga 0.5000 0.5000 0.0000  6 Pd 2.61-2.90
Ga 0.5195 0.9805 0.7500  5 Pd 2.62-2.68, 2 Ga 2.89
Ga 0.9805 0.5195 0.2500  5 Pd 2.62-2.68, 2 Ga 2.89
Pd 0.1820 0.8180 0.5177  5 Ga 2.62-2.90
Pd 0.1854 0.3146 0.7500  3 Ga 2.61-2.64, 2 Pd 2.89
Pd 0.3146 0.1854 0.2500  3 Ga 2.61-2.64, 2 Pd 2.89
Pd 0.3180 0.6820 0.0177  5 Ga 2.62-2.90
Pd 0.6820 0.3180 0.9823  5 Ga 2.62-2.90
Pd 0.6854 0.8146 0.7500  3 Ga 2.61-2.64, 2 Pd 2.89
Pd 0.8146 0.6854 0.2500  3 Ga 2.61-2.64, 2 Pd 2.89
Pd 0.8180 0.1820 0.4823  5 Ga 2.62-2.90